[1]
# Ho3Ga PBE optimized geometry
data_Ho3Ga
_cell_length_a 3.672
_cell_length_b 11.300
_cell_length_c 5.204
_cell_angle_alpha 90.00
_cell_angle_beta 90.00
_cell_angle_gamma 90.00
_symmetry_space_group_name_H-M 'I m m 2'
_symmetry_Int_Tables_number 44
_symmetry_space_group_name_Hall 'I 2 -2'
loop_
_atom_site_label
_atom_site_type_symbol
_atom_site_fract_x
_atom_site_fract_y
_atom_site_fract_z
_atom_site_occupancy
Ho1 Ho 0.000 0.000 0.000 1
Ho2 Ho 0.000 0.212 0.499 1
Ga1 Ga 0.000 0.500 0.000 1
# V   108 Å³/f.u.
# ΔH_f (0 K)   -113 kJ/mol of formula units
# Total energy   -0.16476 hartree per atom

[2]
# HoGa3 PBE optimized geometry
data_HoGa3
_cell_length_a 6.1216
_cell_length_b 6.1216
_cell_length_c 9.4752
_cell_angle_alpha 90.00
_cell_angle_beta 90.00
_cell_angle_gamma 120.00
_symmetry_space_group_name_H-M 'P 63/m m c'
_symmetry_Int_Tables_number 194
_symmetry_space_group_name_Hall '-P 6c 2c'
loop_
_atom_site_label
_atom_site_type_symbol
_atom_site_fract_x
_atom_site_fract_y
_atom_site_fract_z
_atom_site_occupancy
Ho1 Ho 0.0000 0.0000 0.0000 1
Ho2 Ho 0.3333 0.6667 0.2500 1
Ga1 Ga 0.0000 0.5000 0.0000 1
Ga2 Ga 0.1834 0.3668 0.7500 1
# V   77 Å³/f.u.
# ΔH_f (0 K)   -204 kJ/mol of formula units
# Total energy   -0.14487 hartree per atom

[3]
# Ho2Ga PBE optimized geometry
data_Ho2Ga
_cell_length_a 4.556
_cell_length_b 16.443
_cell_length_c 8.299
_cell_angle_alpha 90.00
_cell_angle_beta 90.00
_cell_angle_gamma 90.00
_symmetry_space_group_name_H-M 'C m c 21'
_symmetry_Int_Tables_number 36
_symmetry_space_group_name_Hall 'C 2c -2'
loop_
_atom_site_label
_atom_site_type_symbol
_atom_site_fract_x
_atom_site_fract_y
_atom_site_fract_z
_atom_site_occupancy
Ho1 Ho 0.000 0.026 0.000 1
Ho2 Ho 0.000 0.160 0.331 1
Ho3 Ho 0.000 0.326 0.549 1
Ho4 Ho 0.000 0.369 0.145 1
Ga1 Ga 0.000 0.207 0.837 1
Ga2 Ga 0.000 0.463 0.798 1
# V   78 Å³/f.u.
# ΔH_f (0 K)   -111 kJ/mol of formula units
# Total energy   -0.16329 hartree per atom

[4]
# Ho5Ga2 PBE optimized geometry
data_Ho5Ga2
_cell_length_a 7.889
_cell_length_b 14.299
_cell_length_c 6.474
_cell_angle_alpha 90.00
_cell_angle_beta 90.00
_cell_angle_gamma 90.00
_symmetry_space_group_name_H-M 'I b a m'
_symmetry_Int_Tables_number 72
_symmetry_space_group_name_Hall '-I 2 2c'
loop_
_atom_site_label
_atom_site_type_symbol
_atom_site_fract_x
_atom_site_fract_y
_atom_site_fract_z
_atom_site_occupancy
Ho1 Ho 0.000 0.000 0.250 1
Ho2 Ho 0.000 0.232 0.250 1
Ho3 Ho 0.160 0.418 0.000 1
Ga1 Ga 0.224 0.372 0.500 1
# V   183 Å³/f.u.
# ΔH_f (0 K)   -198 kJ/mol of formula units
# Total energy   -0.16274 hartree per atom
# Distance to the lowest polymorph of the same formula   0.0351 eV per atom

[5]
# Ho3Ga5 PBE optimized geometry
data_Ho3Ga5
_cell_length_a 11.398
_cell_length_b 9.667
_cell_length_c 6.093
_cell_angle_alpha 90.00
_cell_angle_beta 90.00
_cell_angle_gamma 90.00
_symmetry_space_group_name_H-M 'P n m a'
_symmetry_Int_Tables_number 62
_symmetry_space_group_name_Hall '-P 2ac 2n'
loop_
_atom_site_label
_atom_site_type_symbol
_atom_site_fract_x
_atom_site_fract_y
_atom_site_fract_z
_atom_site_occupancy
Ho1 Ho 0.074 0.250 0.153 1
Ho2 Ho 0.148 0.510 0.610 1
Ga1 Ga 0.006 0.250 0.629 1
Ga2 Ga 0.090 0.552 0.127 1
Ga3 Ga 0.199 0.750 0.899 1
Ga4 Ga 0.248 0.750 0.326 1
# V   168 Å³/f.u.
# ΔH_f (0 K)   -503 kJ/mol of formula units
# Total energy   -0.15654 hartree per atom
# Distance to the lowest polymorph of the same formula   0.0000 eV per atom

[6]
# Ho3Ga4 PBE optimized geometry
data_Ho3Ga4
_cell_length_a 4.116
_cell_length_b 4.226
_cell_length_c 18.161
_cell_angle_alpha 90.00
_cell_angle_beta 90.00
_cell_angle_gamma 90.00
_symmetry_space_group_name_H-M 'I m m m'
_symmetry_Int_Tables_number 71
_symmetry_space_group_name_Hall '-I 2 2'
loop_
_atom_site_label
_atom_site_type_symbol
_atom_site_fract_x
_atom_site_fract_y
_atom_site_fract_z
_atom_site_occupancy
Ho1 Ho 0.000 0.000 0.000 1
Ho2 Ho 0.000 0.500 0.315 1
Ga1 Ga 0.000 0.000 0.433 1
Ga2 Ga 0.000 0.500 0.147 1
# V   158 Å³/f.u.
# ΔH_f (0 K)   -422 kJ/mol of formula units
# Total energy   -0.15861 hartree per atom
# Distance to the lowest polymorph of the same formula   0.0000 eV per atom

[7]
# Ho3Ga5 PBE optimized geometry
data_Ho3Ga5
_cell_length_a 5.832
_cell_length_b 17.584
_cell_length_c 13.806
_cell_angle_alpha 90.00
_cell_angle_beta 90.00
_cell_angle_gamma 90.00
_symmetry_space_group_name_H-M 'F d d 2'
_symmetry_Int_Tables_number 43
_symmetry_space_group_name_Hall 'F 2 -2d'
loop_
_atom_site_label
_atom_site_type_symbol
_atom_site_fract_x
_atom_site_fract_y
_atom_site_fract_z
_atom_site_occupancy
Ho1 Ho 0.000 0.000 0.000 1
Ho2 Ho 0.007 0.172 0.502 1
Ga1 Ga 0.000 0.000 0.452 1
Ga2 Ga 0.010 0.335 0.588 1
Ga3 Ga 0.040 0.175 0.905 1
# V   177 Å³/f.u.
# ΔH_f (0 K)   -407 kJ/mol of formula units
# Total energy   -0.15199 hartree per atom
# Distance to the lowest polymorph of the same formula   0.1238 eV per atom

[8]
# HoGa2I5 PBE optimized geometry
data_HoGa2I5
_cell_length_a 15.876
_cell_length_b 8.169
_cell_length_c 11.478
_cell_angle_alpha 90.00
_cell_angle_beta 113.06
_cell_angle_gamma 90.00
_symmetry_space_group_name_H-M 'C 1 c 1'
_symmetry_Int_Tables_number 9
_symmetry_space_group_name_Hall 'C -2yc'
loop_
_atom_site_label
_atom_site_type_symbol
_atom_site_fract_x
_atom_site_fract_y
_atom_site_fract_z
_atom_site_occupancy
Ho1 Ho 0.000 0.000 0.000 1
Ga1 Ga 0.110 0.474 0.207 1
Ga2 Ga 0.390 0.025 0.793 1
I1 I 0.000 0.149 0.750 1
I2 I 0.090 0.309 0.462 1
I3 I 0.184 0.155 0.139 1
I4 I 0.317 0.344 0.861 1
I5 I 0.410 0.191 0.538 1
# Formation energy from raw total energies   -0.847 eV/atom
# V   342 Å³/f.u.
# Total energy   -0.11557 hartree per atom

[9]
# HoGaI4 PBE optimized geometry
data_HoGaI4
_cell_length_a 16.859
_cell_length_b 4.451
_cell_length_c 8.169
_cell_angle_alpha 90.00
_cell_angle_beta 116.18
_cell_angle_gamma 90.00
_symmetry_space_group_name_H-M 'C 1 2/m 1'
_symmetry_Int_Tables_number 12
_symmetry_space_group_name_Hall '-C 2y'
loop_
_atom_site_label
_atom_site_type_symbol
_atom_site_fract_x
_atom_site_fract_y
_atom_site_fract_z
_atom_site_occupancy
Ho1 Ho 0.000 0.000 0.000 1
Ga1 Ga 0.000 0.500 0.500 1
I1 I 0.114 0.000 0.807 1
I2 I 0.115 0.500 0.255 1
# Formation energy from raw total energies   -1.035 eV/atom
# V   275 Å³/f.u.
# Total energy   -0.12259 hartree per atom

[10]
# Ho3GaI3 PBE optimized geometry
data_Ho3GaI3
_cell_length_a 12.141
_cell_length_b 12.141
_cell_length_c 12.141
_cell_angle_alpha 90.00
_cell_angle_beta 90.00
_cell_angle_gamma 90.00
_symmetry_space_group_name_H-M 'I 41 3 2'
_symmetry_Int_Tables_number 214
_symmetry_space_group_name_Hall 'I 4bd 2c 3'
loop_
_atom_site_label
_atom_site_type_symbol
_atom_site_fract_x
_atom_site_fract_y
_atom_site_fract_z
_atom_site_occupancy
Ho1 Ho 0.107 0.357 0.125 1
Ga1 Ga 0.125 0.125 0.125 1
I1 I 0.118 0.132 0.625 1
# Formation energy from raw total energies   -0.992 eV/atom
# V   224 Å³/f.u.
# Total energy   -0.14886 hartree per atom

[11]
# Ho2GaI PBE optimized geometry
data_Ho2GaI
_cell_length_a 4.2117
_cell_length_b 4.2117
_cell_length_c 22.7460
_cell_angle_alpha 90.00
_cell_angle_beta 90.00
_cell_angle_gamma 120.00
_symmetry_space_group_name_H-M 'R 3 m'
_symmetry_Int_Tables_number 160
_symmetry_space_group_name_Hall 'R 3 -2"'
loop_
_atom_site_label
_atom_site_type_symbol
_atom_site_fract_x
_atom_site_fract_y
_atom_site_fract_z
_atom_site_occupancy
Ho1 Ho 0.0000 0.0000 0.0000 1
Ho2 Ho 0.0000 0.0000 0.2032 1
Ga1 Ga 0.0000 0.0000 0.6033 1
I1 I 0.0000 0.0000 0.4332 1
# Formation energy from raw total energies   -0.627 eV/atom
# V   116 Å³/f.u.
# Total energy   -0.14921 hartree per atom
# Distance to the lowest polymorph of the same formula   0.0415 eV per atom

[12]
# Ho4Ga2I5 PBE optimized geometry
data_Ho4Ga2I5
_cell_length_a 23.655
_cell_length_b 4.169
_cell_length_c 8.405
_cell_angle_alpha 90.00
_cell_angle_beta 91.89
_cell_angle_gamma 90.00
_symmetry_space_group_name_H-M 'C 1 2/m 1'
_symmetry_Int_Tables_number 12
_symmetry_space_group_name_Hall '-C 2y'
loop_
_atom_site_label
_atom_site_type_symbol
_atom_site_fract_x
_atom_site_fract_y
_atom_site_fract_z
_atom_site_occupancy
Ho1 Ho 0.020 0.000 0.297 1
Ho2 Ho 0.161 0.500 0.440 1
Ga1 Ga 0.051 0.500 0.534 1
I1 I 0.000 0.500 0.000 1
I2 I 0.146 0.000 0.174 1
I3 I 0.208 0.000 0.679 1
# Formation energy from raw total energies   -0.892 eV/atom
# V   414 Å³/f.u.
# Total energy   -0.14009 hartree per atom

[13]
# Ho2GaI PBE optimized geometry
data_Ho2GaI
_cell_length_a 4.2564
_cell_length_b 4.2564
_cell_length_c 22.0441
_cell_angle_alpha 90.00
_cell_angle_beta 90.00
_cell_angle_gamma 120.00
_symmetry_space_group_name_H-M 'R -3 m'
_symmetry_Int_Tables_number 166
_symmetry_space_group_name_Hall '-R 3 2"'
loop_
_atom_site_label
_atom_site_type_symbol
_atom_site_fract_x
_atom_site_fract_y
_atom_site_fract_z
_atom_site_occupancy
Ho1 Ho 0.0000 0.0000 0.2328 1
Ga1 Ga 0.0000 0.0000 0.5000 1
I1 I 0.0000 0.0000 0.0000 1
# Formation energy from raw total energies   -0.668 eV/atom
# V   115 Å³/f.u.
# Total energy   -0.15073 hartree per atom
# Distance to the lowest polymorph of the same formula   0.0000 eV per atom

[14]
# Ho2GaI3 PBE optimized geometry
data_Ho2GaI3
_cell_length_a 20.521
_cell_length_b 4.103
_cell_length_c 15.075
_cell_angle_alpha 90.00
_cell_angle_beta 129.37
_cell_angle_gamma 90.00
_symmetry_space_group_name_H-M 'C 1 2/m 1'
_symmetry_Int_Tables_number 12
_symmetry_space_group_name_Hall '-C 2y'
loop_
_atom_site_label
_atom_site_type_symbol
_atom_site_fract_x
_atom_site_fract_y
_atom_site_fract_z
_atom_site_occupancy
Ho1 Ho 0.105 0.000 0.231 1
Ho2 Ho 0.124 0.500 0.942 1
Ga1 Ga 0.063 0.000 0.007 1
I1 I 0.037 0.500 0.313 1
I2 I 0.184 0.000 0.847 1
I3 I 0.245 0.500 0.352 1
# Formation energy from raw total energies   -0.920 eV/atom
# V   245 Å³/f.u.
# Total energy   -0.13690 hartree per atom

[15]
# HoGa3I6 PBE optimized geometry
data_HoGa3I6
_cell_length_a 7.848
_cell_length_b 8.885
_cell_length_c 13.733
_cell_angle_alpha 90.00
_cell_angle_beta 121.99
_cell_angle_gamma 90.00
_symmetry_space_group_name_H-M 'P 1 21/c 1'
_symmetry_Int_Tables_number 14
_symmetry_space_group_name_Hall '-P 2ybc'
loop_
_atom_site_label
_atom_site_type_symbol
_atom_site_fract_x
_atom_site_fract_y
_atom_site_fract_z
_atom_site_occupancy
Ho1 Ho 0.000 0.000 0.000 1
Ga1 Ga 0.323 0.110 0.806 1
Ga2 Ga 0.500 0.000 0.500 1
I1 I 0.094 0.058 0.241 1
I2 I 0.247 0.713 0.081 1
I3 I 0.372 0.173 0.051 1
# Formation energy from raw total energies   -0.745 eV/atom
# V   406 Å³/f.u.
# Total energy   -0.11175 hartree per atom

[16]
# HoGaI PBE optimized geometry
data_HoGaI
_cell_length_a 7.258
_cell_length_b 4.188
_cell_length_c 12.363
_cell_angle_alpha 90.00
_cell_angle_beta 101.39
_cell_angle_gamma 90.00
_symmetry_space_group_name_H-M 'C 1 2/m 1'
_symmetry_Int_Tables_number 12
_symmetry_space_group_name_Hall '-C 2y'
loop_
_atom_site_label
_atom_site_type_symbol
_atom_site_fract_x
_atom_site_fract_y
_atom_site_fract_z
_atom_site_occupancy
Ho1 Ho 0.056 0.000 0.165 1
Ga1 Ga 0.157 0.500 0.972 1
I1 I 0.223 0.000 0.671 1
# Formation energy from raw total energies   -1.014 eV/atom
# V   92 Å³/f.u.
# Total energy   -0.14941 hartree per atom

[17]
# Ho4GaI5 PBE optimized geometry
data_Ho4GaI5
_cell_length_a 19.103
_cell_length_b 4.211
_cell_length_c 8.755
_cell_angle_alpha 90.00
_cell_angle_beta 102.38
_cell_angle_gamma 90.00
_symmetry_space_group_name_H-M 'C 1 2/m 1'
_symmetry_Int_Tables_number 12
_symmetry_space_group_name_Hall '-C 2y'
loop_
_atom_site_label
_atom_site_type_symbol
_atom_site_fract_x
_atom_site_fract_y
_atom_site_fract_z
_atom_site_occupancy
Ho1 Ho 0.000 0.000 0.213 1
Ho2 Ho 0.147 0.500 0.074 1
Ga1 Ga 0.000 0.500 0.000 1
I1 I 0.000 0.500 0.500 1
I2 I 0.167 0.000 0.337 1
I3 I 0.173 0.000 0.830 1
# Formation energy from raw total energies   -1.062 eV/atom
# V   344 Å³/f.u.
# Total energy   -0.14594 hartree per atom

[18]
# K2HoGaI6 PBE optimized geometry
data_K2HoGaI6
_cell_length_a 8.5365
_cell_length_b 8.5365
_cell_length_c 21.7275
_cell_angle_alpha 90.00
_cell_angle_beta 90.00
_cell_angle_gamma 120.00
_symmetry_space_group_name_H-M 'R 3'
_symmetry_Int_Tables_number 146
_symmetry_space_group_name_Hall 'R 3'
loop_
_atom_site_label
_atom_site_type_symbol
_atom_site_fract_x
_atom_site_fract_y
_atom_site_fract_z
_atom_site_occupancy
K1 K 0.0000 0.0000 0.0000 1
K2 K 0.0000 0.0000 0.4915 1
Ho1 Ho 0.0000 0.0000 0.7013 1
Ga1 Ga 0.0000 0.0000 0.2067 1
I1 I 0.0140 0.4076 0.4459 1
I2 I 0.0743 0.7162 0.2840 1
# Formation energy from raw total energies   -1.212 eV/atom
# V   457 Å³/f.u.
# Total energy   -0.11472 hartree per atom

[19]
# KHoGa2I6 PBE optimized geometry
data_KHoGa2I6
_cell_length_a 8.260
_cell_length_b 8.264
_cell_length_c 8.871
_cell_angle_alpha 90.01
_cell_angle_beta 117.74
_cell_angle_gamma 119.97
_symmetry_space_group_name_H-M 'P 1'
_symmetry_Int_Tables_number 1
_symmetry_space_group_name_Hall 'P 1'
loop_
_atom_site_label
_atom_site_type_symbol
_atom_site_fract_x
_atom_site_fract_y
_atom_site_fract_z
_atom_site_occupancy
K1 K 0.000 0.000 0.000 1
Ho1 Ho 0.981 0.491 0.472 1
Ga1 Ga 0.611 0.305 0.916 1
Ga2 Ga 0.625 0.813 0.438 1
I1 I 0.112 0.248 0.688 1
I2 I 0.113 0.432 0.216 1
I3 I 0.440 0.864 0.688 1
I4 I 0.536 0.104 0.216 1
I5 I 0.784 0.680 0.215 1
I6 I 0.824 0.576 0.688 1
# Formation energy from raw total energies   -0.983 eV/atom
# V   442 Å³/f.u.
# Total energy   -0.11339 hartree per atom

[20]
# Li2HoGaI6 PBE optimized geometry
data_Li2HoGaI6
_cell_length_a 7.7010
_cell_length_b 7.7010
_cell_length_c 21.3297
_cell_angle_alpha 90.00
_cell_angle_beta 90.00
_cell_angle_gamma 120.00
_symmetry_space_group_name_H-M 'R 3'
_symmetry_Int_Tables_number 146
_symmetry_space_group_name_Hall 'R 3'
loop_
_atom_site_label
_atom_site_type_symbol
_atom_site_fract_x
_atom_site_fract_y
_atom_site_fract_z
_atom_site_occupancy
Li1 Li 0.0000 0.0000 0.0000 1
Li2 Li 0.0000 0.0000 0.4952 1
Ho1 Ho 0.0000 0.0000 0.6778 1
Ga1 Ga 0.0000 0.0000 0.1853 1
I1 I 0.0026 0.3305 0.0841 1
I2 I 0.0097 0.6313 0.2552 1
# Formation energy from raw total energies   -1.075 eV/atom
# V   365 Å³/f.u.
# Total energy   -0.11571 hartree per atom